Entry 1:
# ZnRuCl3 | Alexandria | PBEsol | relaxed
# - Calculated volume: 20.5 Å³/atom
# - Formation energy (no corrections): 0.012 eV/atom
data_ZnRuCl3
_chemical_formula_sum 'Zn1 Ru1 Cl3'
_symmetry_space_group_name_H-M 'P m -3 m'
_symmetry_Int_Tables_number 221
_symmetry_space_group_name_Hall '-P 4 2 3'
_cell_length_a 4.683
_cell_length_b 4.683
_cell_length_c 4.683
_cell_angle_alpha 90.00
_cell_angle_beta 90.00
_cell_angle_gamma 90.00
loop_
_atom_site_label
_atom_site_fract_x
_atom_site_fract_y
_atom_site_fract_z
_atom_site_occupancy
Zn1 0.000 0.000 0.000 1
Ru1 0.500 0.500 0.500 1
Cl1 0.000 0.500 0.500 1

Entry 2:
# ZnRu2Cl | Alexandria | PBEsol | relaxed
# - Relative energy among the computed polymorphs: 98 meV per atom
# - Calculated volume: 14.2 Å³/atom
# - Formation energy (no corrections): 0.574 eV/atom
data_ZnRu2Cl
_chemical_formula_sum 'Zn1 Ru2 Cl1'
_symmetry_space_group_name_H-M 'P m m m'
_symmetry_Int_Tables_number 47
_symmetry_space_group_name_Hall '-P 2 2'
_cell_length_a 2.750
_cell_length_b 4.327
_cell_length_c 4.771
_cell_angle_alpha 90.00
_cell_angle_beta 90.00
_cell_angle_gamma 90.00
loop_
_atom_site_label
_atom_site_fract_x
_atom_site_fract_y
_atom_site_fract_z
_atom_site_occupancy
Zn1 0.000 0.000 0.000 1
Ru1 0.000 0.500 0.500 1
Ru2 0.500 0.500 0.000 1
Cl1 0.500 0.000 0.500 1

Entry 3:
# ZnRu2Cl | Alexandria | PBEsol | relaxed
# - Relative energy among the computed polymorphs: 56 meV per atom
# - Calculated volume: 13.3 Å³/atom
# - Formation energy (no corrections): 0.533 eV/atom
data_ZnRu2Cl
_chemical_formula_sum 'Zn1 Ru2 Cl1'
_symmetry_space_group_name_H-M 'P 4/m m m'
_symmetry_Int_Tables_number 123
_symmetry_space_group_name_Hall '-P 4 2'
_cell_length_a 2.965
_cell_length_b 2.965
_cell_length_c 6.065
_cell_angle_alpha 90.00
_cell_angle_beta 90.00
_cell_angle_gamma 90.00
loop_
_atom_site_label
_atom_site_fract_x
_atom_site_fract_y
_atom_site_fract_z
_atom_site_occupancy
Zn1 0.000 0.000 0.000 1
Ru1 0.500 0.500 0.248 1
Cl1 0.000 0.000 0.500 1

Entry 4:
# ZrRu2Cl | Alexandria | PBEsol | relaxed
# - Relative energy among the computed polymorphs: 195 meV per atom
# - Calculated volume: 15.5 Å³/atom
# - Formation energy (no corrections): 0.108 eV/atom
data_ZrRu2Cl
_chemical_formula_sum 'Zr2 Ru4 Cl2'
_symmetry_space_group_name_H-M 'C 1 m 1'
_symmetry_Int_Tables_number 8
_symmetry_space_group_name_Hall 'C -2y'
_cell_length_a 9.322
_cell_length_b 2.986
_cell_length_c 4.576
_cell_angle_alpha 90.00
_cell_angle_beta 103.71
_cell_angle_gamma 90.00
loop_
_atom_site_label
_atom_site_fract_x
_atom_site_fract_y
_atom_site_fract_z
_atom_site_occupancy
Zr1 0.000 0.000 0.000 1
Ru1 0.230 0.000 0.588 1
Ru2 0.497 0.000 0.496 1
Cl1 0.242 0.500 0.141 1

Entry 5:
# ZrRu2Cl | Alexandria | PBEsol | relaxed
# - Relative energy among the computed polymorphs: 252 meV per atom
# - Calculated volume: 15.3 Å³/atom
# - Formation energy (no corrections): 0.166 eV/atom
data_ZrRu2Cl
_chemical_formula_sum 'Zr2 Ru4 Cl2'
_symmetry_space_group_name_H-M 'C 1 2/m 1'
_symmetry_Int_Tables_number 12
_symmetry_space_group_name_Hall '-C 2y'
_cell_length_a 5.330
_cell_length_b 9.004
_cell_length_c 2.923
_cell_angle_alpha 90.00
_cell_angle_beta 119.14
_cell_angle_gamma 90.00
loop_
_atom_site_label
_atom_site_fract_x
_atom_site_fract_y
_atom_site_fract_z
_atom_site_occupancy
Zr1 0.000 0.000 0.000 1
Ru1 0.250 0.250 0.500 1
Cl1 0.000 0.500 0.000 1

Entry 6:
# ZrRu2Cl | Alexandria | PBEsol | relaxed
# - Relative energy among the computed polymorphs: 0 meV per atom
# - Calculated volume: 18.7 Å³/atom
# - Formation energy (no corrections): -0.087 eV/atom
data_ZrRu2Cl
_chemical_formula_sum 'Zr1 Ru2 Cl1'
_symmetry_space_group_name_H-M 'P 4 m m'
_symmetry_Int_Tables_number 99
_symmetry_space_group_name_Hall 'P 4 -2'
_cell_length_a 3.262
_cell_length_b 3.262
_cell_length_c 7.011
_cell_angle_alpha 90.00
_cell_angle_beta 90.00
_cell_angle_gamma 90.00
loop_
_atom_site_label
_atom_site_fract_x
_atom_site_fract_y
_atom_site_fract_z
_atom_site_occupancy
Zr1 0.000 0.000 0.000 1
Ru1 0.000 0.000 0.635 1
Ru2 0.500 0.500 0.753 1
Cl1 0.500 0.500 0.222 1

Entry 7:
# ZrRuCl2 | Alexandria | PBEsol | relaxed
# - Relative energy among the computed polymorphs: 437 meV per atom
# - Calculated volume: 18.8 Å³/atom
# - Formation energy (no corrections): -0.161 eV/atom
data_ZrRuCl2
_chemical_formula_sum 'Zr3 Ru3 Cl6'
_symmetry_space_group_name_H-M 'R -3 m'
_symmetry_Int_Tables_number 166
_symmetry_space_group_name_Hall '-R 3 2"'
_cell_length_a 3.0592
_cell_length_b 3.0592
_cell_length_c 27.8791
_cell_angle_alpha 90.00
_cell_angle_beta 90.00
_cell_angle_gamma 120.00
loop_
_atom_site_label
_atom_site_fract_x
_atom_site_fract_y
_atom_site_fract_z
_atom_site_occupancy
Zr1 0.0000 0.0000 0.0000 1
Ru1 0.0000 0.0000 0.5000 1
Cl1 0.0000 0.0000 0.2664 1

Entry 8:
# ZrRuCl2 | Alexandria | PBEsol | relaxed
# - Relative energy among the computed polymorphs: 447 meV per atom
# - Calculated volume: 16.8 Å³/atom
# - Formation energy (no corrections): -0.150 eV/atom
data_ZrRuCl2
_chemical_formula_sum 'Zr2 Ru2 Cl4'
_symmetry_space_group_name_H-M 'I m m m'
_symmetry_Int_Tables_number 71
_symmetry_space_group_name_Hall '-I 2 2'
_cell_length_a 2.981
_cell_length_b 5.310
_cell_length_c 8.497
_cell_angle_alpha 90.00
_cell_angle_beta 90.00
_cell_angle_gamma 90.00
loop_
_atom_site_label
_atom_site_fract_x
_atom_site_fract_y
_atom_site_fract_z
_atom_site_occupancy
Zr1 0.000 0.000 0.000 1
Ru1 0.000 0.000 0.500 1
Cl1 0.000 0.500 0.241 1

Number 1: DOS(E_F) 1.01 states/eV/atom, total energy -17.72 eV/cell, magnetic moment 0.67 μB/f.u.. Number 2: DOS(E_F) 1.30 states/eV/atom, total energy -21.64 eV/cell, magnetic moment 0.17 μB/f.u.. Number 3: DOS(E_F) 0.95 states/eV/atom, total energy -21.80 eV/cell, magnetic moment 0.00 μB/f.u.. Number 4: DOS(E_F) 0.97 states/eV/atom, total energy -62.02 eV/cell, magnetic moment 0.00 μB/f.u.. Number 5: DOS(E_F) 0.86 states/eV/atom, total energy -61.56 eV/cell, magnetic moment 0.00 μB/f.u.. Number 6: DOS(E_F) 0.49 states/eV/atom, total energy -31.79 eV/cell, magnetic moment 0.00 μB/f.u.. Number 7: DOS(E_F) 0.60 states/eV/atom, total energy -71.77 eV/cell, magnetic moment 2.42 μB/f.u.. Number 8: DOS(E_F) 0.51 states/eV/atom, total energy -47.76 eV/cell, magnetic moment 1.11 μB/f.u..